Entry 1:
{
  "formula": "Zr5Re24",
  "functional": "GGA-PBEsol",
  "state": "optimized geometry",
  "lattice_angstrom": [[-4.847, 4.847, 4.847], [4.847, -4.847, 4.847], [4.847, 4.847, -4.847]],
  "species": ["Zr", "Zr", "Zr", "Zr", "Zr", "Re", "Re", "Re", "Re", "Re", "Re", "Re", "Re", "Re", "Re", "Re", "Re", "Re", "Re", "Re", "Re", "Re", "Re", "Re", "Re", "Re", "Re", "Re", "Re"],
  "fractional_positions": [[0.000, 0.000, 0.000], [0.000, 0.000, 0.371], [0.000, 0.371, 0.000], [0.371, 0.000, 0.000], [0.629, 0.629, 0.629], [0.000, 0.322, 0.603], [0.000, 0.603, 0.322], [0.000, 0.623, 0.806], [0.000, 0.806, 0.623], [0.183, 0.377, 0.377], [0.194, 0.194, 0.817], [0.194, 0.817, 0.194], [0.280, 0.678, 0.678], [0.322, 0.000, 0.603], [0.322, 0.603, 0.000], [0.377, 0.183, 0.377], [0.377, 0.377, 0.183], [0.397, 0.397, 0.720], [0.397, 0.720, 0.397], [0.603, 0.000, 0.322], [0.603, 0.322, 0.000], [0.623, 0.000, 0.806], [0.623, 0.806, 0.000], [0.678, 0.280, 0.678], [0.678, 0.678, 0.280], [0.720, 0.397, 0.397], [0.806, 0.000, 0.623], [0.806, 0.623, 0.000], [0.817, 0.194, 0.194]],
  "volume_a3_per_atom": 15.70,
  "space_group": "I-43m (217)",
  "magmom_total_mub_per_cell": 0.0,
  "dft_energy_ev_per_atom": -12.818,
  "e_form_ev_per_atom": -0.218
}

=====

Entry 2:
{
  "formula": "BaSiAu",
  "functional": "GGA-PBEsol",
  "state": "optimized geometry",
  "lattice_angstrom": [[4.289, 0.000, 0.000], [-2.144, 3.714, 0.000], [0.000, 0.000, 4.973]],
  "species": ["Ba", "Si", "Au"],
  "fractional_positions": [[0.000, 0.000, 0.000], [0.333, 0.667, 0.500], [0.667, 0.333, 0.500]],
  "volume_a3_per_atom": 26.40,
  "space_group": "P-6m2 (187)",
  "magmom_total_mub_per_cell": 0.0,
  "e_form_raw_ev_per_atom": -0.5978,
  "dft_energy_ev_per_atom": -4.538
}

=====

Entry 3:
{
  "formula": "CeSi2Ir2",
  "functional": "GGA-PBEsol",
  "state": "optimized geometry",
  "lattice_angstrom": [[-2.027, 2.027, 5.013], [2.027, -2.027, 5.013], [2.027, 2.027, -5.013]],
  "species": ["Ce", "Si", "Si", "Ir", "Ir"],
  "fractional_positions": [[0.000, 0.000, 0.000], [0.379, 0.379, 0.000], [0.621, 0.621, 0.000], [0.250, 0.750, 0.500], [0.750, 0.250, 0.500]],
  "volume_a3_per_atom": 16.48,
  "space_group": "I4/mmm (139)",
  "magmom_total_mub_per_cell": 0.2,
  "e_form_raw_ev_per_atom": -1.0572,
  "dft_energy_ev_per_atom": -8.604
}

=====

Entry 4:
{
  "formula": "Y2NiPdSe",
  "functional": "GGA-PBEsol",
  "state": "optimized geometry",
  "lattice_angstrom": [[5.071, 0.000, 0.000], [0.000, 5.071, 0.000], [0.000, 0.000, 4.441]],
  "species": ["Y", "Y", "Ni", "Pd", "Se"],
  "fractional_positions": [[0.000, 0.500, 0.000], [0.500, 0.000, 0.000], [0.000, 0.000, 0.000], [0.000, 0.000, 0.500], [0.500, 0.500, 0.500]],
  "volume_a3_per_atom": 22.84,
  "space_group": "P4/mmm (123)",
  "magmom_total_mub_per_cell": 0.0,
  "e_form_raw_ev_per_atom": -0.3934,
  "dft_energy_ev_per_atom": -6.316
}

=====

Entry 5:
{
  "formula": "ZrPtRh",
  "functional": "GGA-PBEsol",
  "state": "optimized geometry",
  "lattice_angstrom": [[0.000, 3.052, 3.052], [3.052, 0.000, 3.052], [3.052, 3.052, 0.000]],
  "species": ["Zr", "Pt", "Rh"],
  "fractional_positions": [[0.000, 0.000, 0.000], [0.750, 0.750, 0.750], [0.250, 0.250, 0.250]],
  "volume_a3_per_atom": 18.96,
  "space_group": "F-43m (216)",
  "magmom_total_mub_per_cell": 0.0,
  "dft_energy_ev_per_atom": -8.459,
  "e_form_ev_per_atom": -0.395
}

=====

Entry 6:
{
  "formula": "BeTcPd2Pb",
  "functional": "GGA-PBEsol",
  "state": "optimized geometry",
  "lattice_angstrom": [[4.201, 0.000, 0.000], [0.000, 4.201, 0.000], [0.000, 0.000, 4.323]],
  "species": ["Be", "Tc", "Pd", "Pd", "Pb"],
  "fractional_positions": [[0.000, 0.000, 0.000], [0.000, 0.000, 0.500], [0.000, 0.500, 0.000], [0.500, 0.000, 0.000], [0.500, 0.500, 0.500]],
  "volume_a3_per_atom": 15.26,
  "space_group": "P4/mmm (123)",
  "magmom_total_mub_per_cell": 0.1,
  "dft_energy_ev_per_atom": -6.060,
  "e_form_ev_per_atom": 0.177
}

=====

Entry 7:
{
  "formula": "MnCrRu2",
  "functional": "GGA-PBEsol",
  "state": "optimized geometry",
  "lattice_angstrom": [[1.303, 0.752, 8.350], [-1.303, 0.752, 8.350], [0.000, -1.505, 8.350]],
  "species": ["Mn", "Cr", "Ru", "Ru"],
  "fractional_positions": [[0.000, 0.000, 0.000], [0.500, 0.500, 0.500], [0.251, 0.251, 0.251], [0.749, 0.749, 0.749]],
  "volume_a3_per_atom": 12.28,
  "space_group": "R-3m (166)",
  "magmom_total_mub_per_cell": 1.0,
  "dft_energy_ev_per_atom": -9.910,
  "e_form_ev_per_atom": 0.177
}

=====

Entry 8:
{
  "formula": "BeReTc2",
  "functional": "GGA-PBEsol",
  "state": "optimized geometry",
  "lattice_angstrom": [[-1.475, 2.059, 4.193], [1.475, -2.059, 4.193], [1.475, 2.059, -4.193]],
  "species": ["Be", "Re", "Tc", "Tc"],
  "fractional_positions": [[0.000, 0.000, 0.000], [0.500, 0.500, 0.000], [0.239, 0.739, 0.500], [0.761, 0.261, 0.500]],
  "volume_a3_per_atom": 12.73,
  "space_group": "Immm (71)",
  "magmom_total_mub_per_cell": 0.0,
  "dft_energy_ev_per_atom": -9.949,
  "e_form_ev_per_atom": 0.018
}

=====

Entry 9:
{
  "formula": "TiPd3",
  "functional": "GGA-PBEsol",
  "state": "optimized geometry",
  "lattice_angstrom": [[5.477, 0.000, 0.000], [-2.738, 4.743, 0.000], [0.000, 0.000, 4.439]],
  "species": ["Ti", "Ti", "Pd", "Pd", "Pd", "Pd", "Pd", "Pd"],
  "fractional_positions": [[0.333, 0.667, 0.250], [0.667, 0.333, 0.750], [0.167, 0.334, 0.750], [0.167, 0.833, 0.750], [0.334, 0.167, 0.250], [0.666, 0.833, 0.750], [0.833, 0.167, 0.250], [0.833, 0.666, 0.250]],
  "volume_a3_per_atom": 14.42,
  "space_group": "P6_3/mmc (194)",
  "magmom_total_mub_per_cell": 0.0,
  "dft_energy_ev_per_atom": -7.215,
  "e_form_ev_per_atom": -0.665
}

=====

Entry 10:
{
  "formula": "Rb2MoClO",
  "functional": "GGA-PBEsol",
  "state": "optimized geometry",
  "lattice_angstrom": [[6.619, 0.000, 0.000], [0.000, 6.619, 0.000], [0.000, 0.000, 4.683]],
  "species": ["Rb", "Rb", "Mo", "Cl", "O"],
  "fractional_positions": [[0.000, 0.500, 0.000], [0.500, 0.000, 0.000], [0.000, 0.000, 0.000], [0.000, 0.000, 0.500], [0.500, 0.500, 0.500]],
  "volume_a3_per_atom": 41.03,
  "space_group": "P4/mmm (123)",
  "magmom_total_mub_per_cell": 5.0,
  "e_form_raw_ev_per_atom": 0.6478,
  "dft_energy_ev_per_atom": -3.567
}

=====

Entry 11:
{
  "formula": "Co3ReBr",
  "functional": "GGA-PBEsol",
  "state": "optimized geometry",
  "lattice_angstrom": [[4.184, 0.000, 0.000], [0.000, 4.184, 0.000], [0.000, 0.000, 4.184]],
  "species": ["Co", "Co", "Co", "Re", "Br"],
  "fractional_positions": [[0.000, 0.000, 0.500], [0.000, 0.500, 0.000], [0.500, 0.000, 0.000], [0.500, 0.500, 0.500], [0.000, 0.000, 0.000]],
  "volume_a3_per_atom": 14.65,
  "space_group": "Pm-3m (221)",
  "magmom_total_mub_per_cell": 4.6,
  "e_form_raw_ev_per_atom": 1.6840,
  "dft_energy_ev_per_atom": -5.999
}

=====

Entry 12:
{
  "formula": "Al2TlTe",
  "functional": "GGA-PBEsol",
  "state": "optimized geometry",
  "lattice_angstrom": [[-3.177, 3.177, 6.050], [3.177, -3.177, 6.050], [3.177, 3.177, -6.050]],
  "species": ["Al", "Al", "Al", "Al", "Tl", "Tl", "Te", "Te"],
  "fractional_positions": [[0.115, 0.625, 0.990], [0.375, 0.365, 0.490], [0.635, 0.125, 0.010], [0.875, 0.885, 0.510], [0.000, 0.000, 0.000], [0.750, 0.250, 0.500], [0.250, 0.750, 0.500], [0.500, 0.500, 0.000]],
  "volume_a3_per_atom": 30.53,
  "space_group": "I-42d (122)",
  "magmom_total_mub_per_cell": 0.0,
  "e_form_raw_ev_per_atom": 0.2083,
  "dft_energy_ev_per_atom": -3.377
}

=====

- Which formula does entry 9 have?
  TiPd3